# 1
## BaBeCrFe2 (GGA-PBE)

Data for BaBeCrFe2 after structural relaxation.

Unit cell a=4.630 b=4.707 c=4.630 alpha=90.00 beta=90.00 gamma=90.00
Element x y z (fractional)
Fe  0.500  0.000  0.000
Cr  0.500  0.500  0.500
Be  0.000  0.500  0.000
Fe  0.000  0.000  0.500
Ba  0.000  0.000  0.000

As for the crystal system: tetragonal. The space-group type is P4/mmm.


# 2
## Ba2BeCrIn (GGA-PBE)

Data for Ba2BeCrIn after structural relaxation.

Unit cell a=6.401 b=4.778 c=6.401 alpha=90.00 beta=90.00 gamma=90.00
Element x y z (fractional)
Be  0.000  0.000  0.000
In  0.000  0.500  0.000
Cr  0.500  0.500  0.500
Ba  0.500  0.000  0.000
Ba  0.000  0.000  0.500

As for the crystal system: tetragonal. The space-group type is P4/mmm.


# 3
## BaLi2BeCr (GGA-PBE)

Data for BaLi2BeCr after structural relaxation.

Unit cell a=4.846 b=5.814 c=4.846 alpha=90.00 beta=90.00 gamma=90.00
Element x y z (fractional)
Li  0.500  0.000  0.000
Ba  0.000  0.500  0.000
Cr  0.500  0.500  0.500
Li  0.000  0.000  0.500
Be  0.000  0.000  0.000

As for the crystal system: tetragonal. The space-group type is P4/mmm.


| no. | formation enthalpy at 0 K (eV per atom) |
| --- | --- |
| 1 | 3.0675 |
| 2 | 0.4656 |
| 3 | 1.2938 |